Compound: Li5Al
Source: the Alexandria database
Functional: PBE
Structure: relaxed

The total energy is -2.268 eV per atom. For the spin magnetization, the calculation gives 0.00 μB/f.u. For the energy above the most stable polymorph in this dataset, the calculation gives 17 meV/atom. For the energy of formation, the calculation gives -1.15 kcal/mol of atoms.

The structure belongs to space group Cm (No. 8); the cell edges are 9.739, 2.968 and 8.104 Å and the angles 90.00°, 113.68° and 90.00°. The distinct sites, in fractional coordinates, are Li at (0.000, 0.000, 0.000), Li at (0.005, 0.000, 0.524), Li at (0.166, 0.500, 0.345), Li at (0.326, 0.000, 0.161), Li at (0.334, 0.000, 0.689) and Al at (0.166, 0.500, 0.842).

Compound: RbZn2Os
Source: the Alexandria database
Functional: PBE
Structure: relaxed

The total energy is -2.884 eV per atom. For the spin magnetization, the calculation gives 0.91 μB/f.u. For the energy above the most stable polymorph in this dataset, the calculation gives 0 meV/atom. For the energy of formation, the calculation gives 18.50 kcal/mol of atoms.

The structure belongs to space group I4_1/amd (No. 141, origin choice 2); the cell edges are 5.532, 5.532 and 16.232 Å and the angles 90.00°, 90.00° and 90.00°. The distinct sites, in fractional coordinates, are Rb at (0.000, 0.250, 0.375), Zn at (0.000, 0.000, 0.000) and Os at (0.000, 0.250, 0.875).

Compound: Nb3CoW
Source: the Alexandria database
Functional: PBE
Structure: relaxed

The total energy is -8.272 eV per atom. For the spin magnetization, the calculation gives 0.00 μB/f.u. For the energy above the most stable polymorph in this dataset, the calculation gives 823 meV/atom. For the energy of formation, the calculation gives 41.08 kcal/mol of atoms.

The structure belongs to space group Pm-3m (No. 221); the cell edges are 4.819, 4.819 and 4.819 Å and the angles 90.00°, 90.00° and 90.00°. The distinct sites, in fractional coordinates, are Nb at (0.000, 0.000, 0.500), Co at (0.500, 0.500, 0.500) and W at (0.000, 0.000, 0.000).

Compound: TlCuO2
Source: the Alexandria database
Functional: PBE
Structure: relaxed

The total energy is -4.674 eV per atom. For the spin magnetization, the calculation gives 0.00 μB/f.u. For the energy above the most stable polymorph in this dataset, the calculation gives 13 meV/atom.

The structure belongs to space group P3_221 (No. 154); the cell edges are 3.5444, 3.5444 and 17.6988 Å and the angles 90.00°, 90.00° and 120.00°. The distinct sites, in fractional coordinates, are Tl at (0.0000, 0.3292, 0.3333), Cu at (0.0000, 0.3350, 0.8333) and O at (0.0039, 0.3374, 0.9361).

Compound: Cd6In2Hg3
Source: the Alexandria database
Functional: PBE
Structure: relaxed

The total energy is -1.058 eV per atom. For the spin magnetization, the calculation gives 0.00 μB/f.u. For the energy above the most stable polymorph in this dataset, the calculation gives 4 meV/atom. For the energy of formation, the calculation gives 0.49 kcal/mol of atoms.

The structure belongs to space group R-3m (No. 166, hexagonal axes); the cell edges are 3.4324, 3.4324 and 79.0408 Å and the angles 90.00°, 90.00° and 120.00°. The distinct sites, in fractional coordinates, are Cd at (0.0000, 0.0000, 0.0890), Cd at (0.0000, 0.0000, 0.1813), Cd at (0.0000, 0.0000, 0.3631), In at (0.0000, 0.0000, 0.4538), Hg at (0.0000, 0.0000, 0.0000) and Hg at (0.0000, 0.0000, 0.2739).

Compound: BaZrBr2
Source: the Alexandria database
Functional: PBE
Structure: relaxed

The total energy is -4.265 eV per atom. For the spin magnetization, the calculation gives 0.00 μB/f.u. For the energy above the most stable polymorph in this dataset, the calculation gives 0 meV/atom.

The structure belongs to space group P4mm (No. 99); the cell edges are 3.924, 3.924 and 7.791 Å and the angles 90.00°, 90.00° and 90.00°. The distinct sites, in fractional coordinates, are Ba at (0.000, 0.000, 0.000), Zr at (0.500, 0.500, 0.641), Br at (0.000, 0.000, 0.550) and Br at (0.500, 0.500, 0.259).

Compound: Dy5Ir4Au
Source: the Alexandria database
Functional: PBE
Structure: relaxed

The total energy is -6.999 eV per atom. For the spin magnetization, the calculation gives 0.17 μB/f.u. For the energy of formation, the calculation gives -19.05 kcal/mol of atoms.

The structure belongs to space group P4/mmm (No. 123); the cell edges are 3.435, 3.435 and 17.643 Å and the angles 90.00°, 90.00° and 90.00°. The distinct sites, in fractional coordinates, are Dy at (0.000, 0.000, 0.000), Dy at (0.000, 0.000, 0.194), Dy at (0.000, 0.000, 0.387), Ir at (0.500, 0.500, 0.098), Ir at (0.500, 0.500, 0.294) and Au at (0.500, 0.500, 0.500).

Compound: ZrHgW4
Source: the Alexandria database
Functional: PBE
Structure: relaxed

The total energy is -9.760 eV per atom. For the spin magnetization, the calculation gives 0.00 μB/f.u. For the energy of formation, the calculation gives 8.08 kcal/mol of atoms.

The structure belongs to space group F-43m (No. 216); the cell edges are 7.625, 7.625 and 7.625 Å and the angles 90.00°, 90.00° and 90.00°. The distinct sites, in fractional coordinates, are Zr at (0.000, 0.000, 0.000), Hg at (0.250, 0.250, 0.750) and W at (0.124, 0.124, 0.376).

Number 1: D(E_F) 2.23 states/eV/f.u.. Number 2: D(E_F) 3.19 states/eV/f.u.. Number 3: D(E_F) 11.42 states/eV/f.u.. Number 4: D(E_F) 3.63 states/eV/f.u.. Number 5: D(E_F) 3.74 states/eV/f.u.. Number 6: D(E_F) 3.96 states/eV/f.u.. Number 7: D(E_F) 9.15 states/eV/f.u.. Number 8: D(E_F) 7.55 states/eV/f.u..